1.
A plane-wave DFT calculation with PBE was carried out for a relaxed WSeBr2 crystal.

Results
- polymorph energy (0 for the lowest one) (meV per atom) = 1500.2
- electronic total energy (eV per cell) = -29.166
- formation energy from raw total energies (kJ per mole of atoms) = 125
- Fermi-level density of states (states/eV per cell) = 6.74
- theoretical density (g cm⁻³) = 8.57
- crystal system = orthorhombic
- magnetization (μB per cell) = 2.727

a b c (Å): 6.2273 8.5594 3.0710
angles (deg): 90.00 90.00 90.00
With the nearest neighbours (Å) after each atom.
Space group Cmmm (No. 65)
Symmetry-distinct sites (fractional):
1 W 0.0000 0.0000 0.0000 [2 per cell]  8 Br 3.06, 2 W 3.07, 2 Se 3.11
2 Se 0.0000 0.5000 0.0000 [2 per cell]  8 Br 3.06, 2 Se 3.07, 2 W 3.11
3 Br 0.2500 0.2500 0.5000 [4 per cell]  4 W 3.06, 4 Se 3.06, 4 Br 3.07-3.11

2.
A plane-wave DFT calculation with PBE was carried out for a relaxed WSeBr crystal.

Results
- polymorph energy (0 for the lowest one) (meV per atom) = 0.0
- electronic total energy (eV per cell) = -77.050
- formation energy from raw total energies (kJ per mole of atoms) = -37
- Fermi-level density of states (states/eV per cell) = 2.13
- theoretical density (g cm⁻³) = 7.45
- crystal system = monoclinic
- magnetization (μB per cell) = 0.000

a b c (Å): 15.7621 3.4566 6.0662
angles (deg): 90.00 112.50 90.00
With the nearest neighbours (Å) after each atom.
Space group C2/m (No. 12)
Symmetry-distinct sites (fractional):
1 W 0.2409 0.0000 0.1571 [4 per cell]  3 Se 2.49-2.53, 2 W 2.67, 1 Br 2.76
2 Se 0.1198 0.5000 0.9436 [4 per cell]  3 W 2.49-2.53
3 Br 0.1509 0.0000 0.4677 [4 per cell]  3 W 2.76-2.85

3.
A plane-wave DFT calculation with PBE was carried out for a relaxed W4SeBr crystal.

Results
- electronic total energy (eV per cell) = -195.624
- formation energy from raw total energies (kJ per mole of atoms) = 130
- Fermi-level density of states (states/eV per cell) = 17.01
- theoretical density (g cm⁻³) = 13.27
- crystal system = cubic
- magnetization (μB per cell) = 0.000

a b c (Å): 7.6503 7.6503 7.6503
angles (deg): 90.00 90.00 90.00
With the nearest neighbours (Å) after each atom.
Space group F-43m (No. 216)
Symmetry-distinct sites (fractional):
1 W 0.1250 0.1250 0.1250 [16 per cell]  6 W 2.70-2.71
2 Se 0.0000 0.0000 0.5000 [4 per cell]  12 W 3.17, 4 Br 3.31
3 Br 0.2500 0.2500 0.7500 [4 per cell]  12 W 3.17, 4 Se 3.31